Material: Cr2CoHPd
Method: DFT, PBE
State: relaxed

Computed properties:
* VASP energy: -6.87 eV/atom

abc: 3.6880 3.6880 3.7456
angles: 90.00 90.00 90.00
Space group P4/mmm (No. 123)
Unique sites:
Cr1 0.0000 0.5000 0.0000 [2 per cell]
Co1 0.0000 0.0000 0.5000 [1 per cell]
H1 0.0000 0.0000 0.0000 [1 per cell]
Pd1 0.5000 0.5000 0.5000 [1 per cell]

Material: Li2MgSi
Method: DFT, PBE
State: relaxed

Computed properties:
* VASP energy: -2.80 eV/atom

abc: 2.8764 4.3395 5.5016
angles: 90.00 103.26 90.00
Space group Pm (No. 6)
Unique sites:
Li1 0.0000 0.0000 0.0000 [1 per cell]
Li2 0.2126 0.5000 0.7706 [1 per cell]
Mg1 0.6941 0.5000 0.2948 [1 per cell]
Si1 0.3753 0.0000 0.5375 [1 per cell]

Material: K2ZrOs
Method: DFT, PBE
State: relaxed

Computed properties:
* excess energy over the best structure of this formula in the dataset: 0.200 eV/f.u.
* E_form: 0.4712 eV/atom

abc: 3.2989 4.1583 21.0343
angles: 90.00 90.00 90.00
Space group Immm (No. 71)
Unique sites:
K1 0.0000 0.0000 0.1501 [4 per cell]
Zr1 0.0000 0.5000 0.0000 [2 per cell]
Os1 0.0000 0.5000 0.5000 [2 per cell]

Material: CaSb4Pd4
Method: DFT, PBE
State: relaxed

Computed properties:
* VASP energy: -4.78 eV/atom

abc: 8.8734 8.8734 5.3990
angles: 90.00 90.00 90.00
Space group P4_2/n (No. 86, origin choice 2)
Unique sites:
Ca1 0.2500 0.2500 0.2500 [2 per cell]
Sb1 0.0940 0.8718 0.6490 [8 per cell]
Pd1 0.0404 0.8781 0.1502 [8 per cell]

Material: K2CdGa2
Method: DFT, PBE
State: relaxed

Computed properties:
* excess energy over the best structure of this formula in the dataset: 1.665 eV/f.u.
* E_form: 0.2848 eV/atom

abc: 4.7271 4.7271 14.8899
angles: 90.00 90.00 90.00
Space group I4/mmm (No. 139)
Unique sites:
K1 0.0000 0.5000 0.2500 [4 per cell]
Cd1 0.0000 0.0000 0.0000 [2 per cell]
Ga1 0.0000 0.0000 0.4168 [4 per cell]

Material: ZnGa3Ag3
Method: DFT, PBE
State: relaxed

Computed properties:
* excess energy over the best structure of this formula in the dataset: 3.261 eV/f.u.
* E_form: 0.4971 eV/atom

abc: 7.2799 7.2799 7.2799
angles: 90.00 90.00 90.00
Space group Pm-3n (No. 223)
Unique sites:
Zn1 0.0000 0.0000 0.0000 [2 per cell]
Ga1 0.0000 0.2500 0.5000 [6 per cell]
Ag1 0.0000 0.5000 0.2500 [6 per cell]

Material: La3Dy2HoTe6
Method: DFT, PBE
State: relaxed

Computed properties:
* VASP energy: -5.39 eV/atom

abc: 19.5443 4.4250 9.0117
angles: 90.00 104.53 90.00
Space group C2/m (No. 12)
Unique sites:
La1 0.0000 0.0000 0.0000 [2 per cell]
La2 0.1671 0.5000 0.3333 [4 per cell]
Dy1 0.1669 0.5000 0.8335 [4 per cell]
Ho1 0.0000 0.0000 0.5000 [2 per cell]
Te1 0.0036 0.5000 0.7393 [4 per cell]
Te2 0.1623 0.0000 0.5924 [4 per cell]
Te3 0.1703 0.0000 0.0737 [4 per cell]

Material: TlRuS
Method: DFT, PBE
State: relaxed

Computed properties:
* VASP energy: -5.45 eV/atom

abc: 4.0060 4.0060 7.9706
angles: 90.00 90.00 90.00
Space group P4/nmm (No. 129, origin choice 2)
Unique sites:
Tl1 0.2500 0.2500 0.1429 [2 per cell]
Ru1 0.2500 0.7500 0.5000 [2 per cell]
S1 0.2500 0.2500 0.6521 [2 per cell]

Number 1 is which compound? Cr2CoHPd

Which formula does entry 2 have? Li2MgSi